A.
The following is a PBEsol calculation of an optimized crystal structure of FeIrPt2, from Alexandria via LeMat-Bulk.

Cell lengths 3.799, 3.799, 3.893 Å; angles 90.00, 90.00, 90.00 degrees
Last column: magnetic moment on the atom in μB.
Fractional positions:
1 Fe 0.500 0.500 0.500  3.13
2 Ir 0.000 0.000 0.500  0.45
3 Pt 0.000 0.500 0.000  0.23
4 Pt 0.500 0.000 0.000  0.23

Values from the calculation:
Total magnetization (μB/atom): 1.023
Space group: P4/mmm (123)


B.
The following is a PBEsol calculation of an optimized crystal structure of FeIrPt2, from Alexandria via LeMat-Bulk.

Cell lengths 4.321, 4.321, 4.321 Å; angles 60.00, 60.00, 60.00 degrees
Last column: magnetic moment on the atom in μB.
Fractional positions:
1 Pt 0.000 0.000 0.000  -0.01
2 Fe 0.500 0.500 0.500  2.96
3 Ir 0.750 0.750 0.750  0.45
4 Pt 0.250 0.250 0.250  0.21

Values from the calculation:
Total magnetization (μB/atom): 0.914
Space group: F-43m (216)


The winner here is A, beating the second structure by 258 meV per atom.


A.
The following is a PBEsol calculation of an optimized crystal structure of FeIrPt2, from Alexandria via LeMat-Bulk.

Cell lengths 2.707, 2.707, 8.914 Å; angles 81.27, 81.27, 60.00 degrees
Last column: magnetic moment on the atom in μB.
Fractional positions:
1 Pt 0.999 0.999 0.004  -0.08
2 Pt 0.756 0.756 0.733  0.18
3 Fe 0.501 0.501 0.496  2.54
4 Ir 0.244 0.244 0.267  -0.03

Values from the calculation:
Total magnetization (μB/atom): 0.660
Space group: R3m (160)


B.
The following is a PBEsol calculation of an optimized crystal structure of FeIrPt2, from Alexandria via LeMat-Bulk.

Cell lengths 2.709, 2.709, 7.590 Å; angles 90.00, 90.00, 90.00 degrees
Last column: magnetic moment on the atom in μB.
Fractional positions:
1 Fe 0.500 0.500 0.000  2.82
2 Ir 0.500 0.500 0.500  -0.21
3 Pt 0.000 0.000 0.762  0.16
4 Pt 0.000 0.000 0.238  0.16

Values from the calculation:
Total magnetization (μB/atom): 0.741
Space group: P4/mmm (123)


The winner here is A, beating the second structure by 22 meV per atom.